# 1
Below is a relaxed structure of CaTmZnCu, with properties calculated at the PBE level.

Its crystal system is cubic. The formation enthalpy at 0 K comes out at -18.57 kJ/mol of atoms. The symmetry is F-43m, No. 216. For the total energy, the calculation gives -12.6 eV/f.u.

a b c (Å): 4.987 4.987 4.987
angles (deg): 60.00 60.00 60.00
Fractional positions:
Zn 0.750 0.750 0.750
Tm 0.000 0.000 0.000
Ca 0.500 0.500 0.500
Cu 0.250 0.250 0.250

# 2
Below is a relaxed structure of PIN3, with properties calculated at the PBE level.

Its crystal system is cubic. The uncorrected formation energy is 13.06 eV per formula unit. The symmetry is Pm-3m, No. 221. For the total energy, the calculation gives -18.9 eV/f.u.

a b c (Å): 3.956 3.956 3.956
angles (deg): 90.00 90.00 90.00
Fractional positions:
I 0.000 0.000 0.000
P 0.500 0.500 0.500
N 0.000 0.500 0.000
N 0.000 0.000 0.500
N 0.500 0.000 0.000

# 3
Below is a relaxed structure of SiNi2Te, with properties calculated at the PBE level.

Its crystal system is orthorhombic. The uncorrected formation energy is 0.32 eV per formula unit. The value obtained for the energy above the most stable polymorph in this dataset is 297 meV per atom. The symmetry is Immm, No. 71. For the total energy, the calculation gives -19.8 eV/f.u.

a b c (Å): 4.550 4.550 4.550
angles (deg): 130.04 111.49 89.44
Fractional positions:
Ni 0.945 0.945 0.000
Ni 0.555 0.555 0.000
Si 0.750 0.250 0.500
Te 0.250 0.750 0.500